VASP calculation (PBE) on a geometry-optimized TmSc2In structure.

a = 3.396 Å, b = 3.396 Å, c = 8.686 Å
α = 90.00°, β = 90.00°, γ = 90.00°
Positions (direct):
Tm 0.000 0.000 0.000
Sc 0.500 0.500 0.271
Sc 0.500 0.500 0.729
In 0.000 0.000 0.500

Values from the calculation:
As for the total magnetization: 0.00 μB/cell. Its space-group type is P4/mmm (123). As for the density of states at the Fermi level: 1.0995 states/eV/atom. The value obtained for the electronic total energy is -5.183 eV per atom. The calculation puts the energy of formation at -0.21 eV per atom. The energy relative to the lowest polymorph listed for this composition comes out at 48 meV per atom.